# 1
Entry from the Alexandria database: an optimized crystal structure of LiScAl3 (PBE).

It has space group Pm-3m (No. 221), with a = 4.455 Å, b = 4.455 Å, c = 4.455 Å, α = 90.00°, β = 90.00° and γ = 90.00°. The distinct sites, in fractional coordinates, are Li at (0.000, 0.000, 0.000), Sc at (0.500, 0.500, 0.500) and Al at (0.000, 0.000, 0.500).

The calculation puts the spin magnetization at 0.0 μB/cell. As for the energy above the most stable polymorph in this dataset: 0.0 meV per atom.

***

# 2
Entry from the Alexandria database: an optimized crystal structure of LiScAl3 (PBE).

It has space group Pm-3m (No. 221), with a = 5.293 Å, b = 5.293 Å, c = 5.293 Å, α = 90.00°, β = 90.00° and γ = 90.00°. The distinct sites, in fractional coordinates, are Li at (0.000, 0.000, 0.000), Sc at (0.500, 0.500, 0.500) and Al at (0.000, 0.500, 0.500).

The calculation puts the spin magnetization at 0.0 μB/cell. As for the energy above the most stable polymorph in this dataset: 599.1 meV per atom.

***

# 3
Entry from the Alexandria database: an optimized crystal structure of LiScAl (PBE).

It has space group Imma (No. 74), with a = 5.080 Å, b = 5.586 Å, c = 7.818 Å, α = 90.00°, β = 90.00° and γ = 90.00°. The distinct sites, in fractional coordinates, are Li at (0.250, 0.250, 0.250), Sc at (0.000, 0.250, 0.628) and Al at (0.000, 0.000, 0.000).

The calculation puts the spin magnetization at 0.0 μB/cell.

***

# 4
Entry from the Alexandria database: an optimized crystal structure of LiScAl (PBE).

It has space group C2/m (No. 12), with a = 14.435 Å, b = 3.151 Å, c = 5.058 Å, α = 90.00°, β = 93.28° and γ = 90.00°. The distinct sites, in fractional coordinates, are Li at (0.237, 0.000, 0.274), Sc at (0.085, 0.000, 0.834) and Al at (0.081, 0.500, 0.349).

The calculation puts the spin magnetization at 0.0 μB/cell.

***

# 5
Entry from the Alexandria database: an optimized crystal structure of LiSc2Al (PBE).

It has space group I-4m2 (No. 119), with a = 4.249 Å, b = 4.249 Å, c = 8.963 Å, α = 90.00°, β = 90.00° and γ = 90.00°. The distinct sites, in fractional coordinates, are Li at (0.000, 0.000, 0.000), Sc at (0.000, 0.000, 0.500), Sc at (0.000, 0.500, 0.750) and Al at (0.000, 0.500, 0.250).

The calculation puts the spin magnetization at 0.0 μB/cell.

***

# 6
Entry from the Alexandria database: an optimized crystal structure of LiScAl (PBE).

It has space group P2/m (No. 10), with a = 4.618 Å, b = 3.025 Å, c = 4.950 Å, α = 90.00°, β = 90.22° and γ = 90.00°. The distinct sites, in fractional coordinates, are Li at (0.000, 0.000, 0.000), Sc at (0.500, 0.000, 0.500) and Al at (0.500, 0.500, 0.000).

The calculation puts the spin magnetization at 0.0 μB/cell.

***

# 7
Entry from the Alexandria database: an optimized crystal structure of LiSc7Al4 (PBE).

It has space group C2/m (No. 12), with a = 13.297 Å, b = 5.066 Å, c = 8.834 Å, α = 90.00°, β = 120.60° and γ = 90.00°. The distinct sites, in fractional coordinates, are Li at (0.000, 0.000, 0.000), Sc at (0.000, 0.500, 0.000), Sc at (0.085, 0.000, 0.441), Sc at (0.199, 0.000, 0.873), Sc at (0.240, 0.000, 0.278), Al at (0.045, 0.500, 0.689) and Al at (0.169, 0.500, 0.347).

The calculation puts the spin magnetization at 0.0 μB/cell.

***

# 8
Entry from the Alexandria database: an optimized crystal structure of Li2ScAl (PBE).

It has space group R-3m (No. 166, hexagonal axes), with a = 3.0146 Å, b = 3.0146 Å, c = 29.7989 Å, α = 90.00°, β = 90.00° and γ = 120.00°. The distinct sites, in fractional coordinates, are Li at (0.0000, 0.0000, 0.2424), Sc at (0.0000, 0.0000, 0.0000) and Al at (0.0000, 0.0000, 0.5000).

The calculation puts the spin magnetization at 0.0 μB/cell.

***

# 9
Entry from the Alexandria database: an optimized crystal structure of LiScAl (PBE).

It has space group F-43m (No. 216), with a = 6.240 Å, b = 6.240 Å, c = 6.240 Å, α = 90.00°, β = 90.00° and γ = 90.00°. The distinct sites, in fractional coordinates, are Li at (0.000, 0.000, 0.000), Sc at (0.250, 0.250, 0.250) and Al at (0.250, 0.250, 0.750).

The calculation puts the spin magnetization at 0.0 μB/cell.

***

# 10
Entry from the Alexandria database: an optimized crystal structure of LiScAl (PBE).

It has space group Imm2 (No. 44), with a = 2.921 Å, b = 4.530 Å, c = 8.635 Å, α = 90.00°, β = 90.00° and γ = 90.00°. The distinct sites, in fractional coordinates, are Li at (0.000, 0.000, 0.000), Sc at (0.000, 0.000, 0.323) and Al at (0.000, 0.000, 0.669).

The calculation puts the spin magnetization at 0.0 μB/cell.

***

# 11
Entry from the Alexandria database: an optimized crystal structure of Li4ScAl (PBE).

It has space group F-43m (No. 216), with a = 7.442 Å, b = 7.442 Å, c = 7.442 Å, α = 90.00°, β = 90.00° and γ = 90.00°. The distinct sites, in fractional coordinates, are Li at (0.124, 0.124, 0.376), Sc at (0.000, 0.000, 0.000) and Al at (0.250, 0.250, 0.750).

The calculation puts the spin magnetization at 0.0 μB/cell.

***

# 12
Entry from the Alexandria database: an optimized crystal structure of Li2ScAl (PBE).

It has space group Cm (No. 8), with a = 9.733 Å, b = 3.057 Å, c = 5.278 Å, α = 90.00°, β = 101.74° and γ = 90.00°. The distinct sites, in fractional coordinates, are Li at (0.000, 0.000, 0.000), Li at (0.248, 0.500, 0.223), Sc at (0.232, 0.000, 0.701) and Al at (0.482, 0.000, 0.467).

The calculation puts the spin magnetization at 0.0 μB/cell.

***

Number 1: energy of formation 0.8 eV/f.u., electronic total energy -3.730 eV/atom, calculated density 2.49 g/cm3. Number 2: energy of formation 3.8 eV/f.u., electronic total energy -3.131 eV/atom, calculated density 1.49 g/cm3. Number 3: energy of formation -0.6 eV/f.u., electronic total energy -4.209 eV/atom, calculated density 2.36 g/cm3. Number 4: energy of formation -0.7 eV/f.u., electronic total energy -4.223 eV/atom, calculated density 2.28 g/cm3. Number 5: energy of formation -0.2 eV/f.u., electronic total energy -4.637 eV/atom, calculated density 2.54 g/cm3. Number 6: energy of formation 0.3 eV/f.u., electronic total energy -3.905 eV/atom, calculated density 1.89 g/cm3. Number 7: energy of formation -1.1 eV/f.u., electronic total energy -5.192 eV/atom, calculated density 2.79 g/cm3. Number 8: energy of formation 0.4 eV/f.u., electronic total energy -3.371 eV/atom, calculated density 1.82 g/cm3. Number 9: energy of formation 0.5 eV/f.u., electronic total energy -3.842 eV/atom, calculated density 2.16 g/cm3. Number 10: energy of formation -0.3 eV/f.u., electronic total energy -4.110 eV/atom, calculated density 2.29 g/cm3. Number 11: energy of formation -0.1 eV/f.u., electronic total energy -2.965 eV/atom, calculated density 1.61 g/cm3. Number 12: energy of formation 0.0 eV/f.u., electronic total energy -3.472 eV/atom, calculated density 1.85 g/cm3.